Entry 1:
The following is a GGA-PBE calculation of a relaxed structure of TcSbP2, from Alexandria.

It has space group C2/m (No. 12), with a = 5.4015 Å, b = 7.2560 Å, c = 4.4995 Å, α = 90.00°, β = 125.24° and γ = 90.00°. The distinct sites, in fractional coordinates, are Tc at (0.0000, 0.0000, 0.0000), Sb at (0.0000, 0.5000, 0.0000) and P at (0.2500, 0.2500, 0.5000).

The crystal system is monoclinic. The value obtained for the magnetic moment is 0.00 μB per formula unit. For the uncorrected formation energy, the calculation gives 0.45 eV/atom. The total energy comes out at -5.882 eV per atom.

---

Entry 2:
The following is a GGA-PBE calculation of a relaxed structure of Mg2Ge2AsPd5, from Alexandria.

It has space group P4/mbm (No. 127), with a = 9.7725 Å, b = 9.7725 Å, c = 3.5435 Å, α = 90.00°, β = 90.00° and γ = 90.00°. The distinct sites, in fractional coordinates, are Mg at (0.1692, 0.3308, 0.0000), Ge at (0.1301, 0.6301, 0.0000), As at (0.0000, 0.0000, 0.0000), Pd at (0.0000, 0.5000, 0.5000) and Pd at (0.0848, 0.8050, 0.5000).

The crystal system is tetragonal. The value obtained for the magnetic moment is 0.00 μB per formula unit. The calculation puts the formation energy at -0.456 eV/atom. The total energy comes out at -4.760 eV per atom.

---

Entry 3:
The following is a GGA-PBE calculation of a relaxed structure of Cd2POs, from Alexandria.

It has space group F-43m (No. 216), with a = 6.5275 Å, b = 6.5275 Å, c = 6.5275 Å, α = 90.00°, β = 90.00° and γ = 90.00°. The distinct sites, in fractional coordinates, are Cd at (0.0000, 0.0000, 0.0000), Cd at (0.2500, 0.2500, 0.2500), P at (0.0000, 0.0000, 0.5000) and Os at (0.2500, 0.2500, 0.7500).

The crystal system is cubic. The value obtained for the magnetic moment is 0.00 μB per formula unit. Its polymorph energy (0 for the lowest one) is 681.9 meV/atom. The calculation puts the formation energy at 0.740 eV/atom. The total energy comes out at -3.877 eV per atom.

---

Entry 4:
The following is a GGA-PBE calculation of a relaxed structure of Li8Cl, from Alexandria.

It has space group I4/mmm (No. 139), with a = 9.8724 Å, b = 9.8724 Å, c = 3.5470 Å, α = 90.00°, β = 90.00° and γ = 90.00°. The distinct sites, in fractional coordinates, are Li at (0.0000, 0.3428, 0.0000), Li at (0.1603, 0.1603, 0.5000) and Cl at (0.0000, 0.0000, 0.0000).

The crystal system is tetragonal. The value obtained for the magnetic moment is 0.00 μB per formula unit. For the uncorrected formation energy, the calculation gives -0.27 eV/atom. The total energy comes out at -2.180 eV per atom.

---

Entry 5:
The following is a GGA-PBE calculation of a relaxed structure of NdPa2CuN5, from Alexandria.

It has space group Cmc2_1 (No. 36), with a = 3.5475 Å, b = 13.2632 Å, c = 10.9527 Å, α = 90.00°, β = 90.00° and γ = 90.00°. The distinct sites, in fractional coordinates, are Nd at (0.0000, 0.1438, 0.0000), Pa at (0.0000, 0.0919, 0.3064), Pa at (0.0000, 0.1820, 0.7022), Cu at (0.0000, 0.4601, 0.0592), N at (0.0000, 0.0096, 0.6371), N at (0.0000, 0.2685, 0.3360), N at (0.0000, 0.3113, 0.0803), N at (0.0000, 0.3470, 0.6813) and N at (0.0000, 0.4986, 0.3837).

The crystal system is orthorhombic. The value obtained for the magnetic moment is 0.29 μB per formula unit. For the uncorrected formation energy, the calculation gives -1.02 eV/atom. The total energy comes out at -8.743 eV per atom.

---

Entry 6:
The following is a GGA-PBE calculation of a relaxed structure of Nb3FeTc, from Alexandria.

It has space group Pm-3m (No. 221), with a = 4.5296 Å, b = 4.5296 Å, c = 4.5296 Å, α = 90.00°, β = 90.00° and γ = 90.00°. The distinct sites, in fractional coordinates, are Nb at (0.0000, 0.0000, 0.5000), Fe at (0.0000, 0.0000, 0.0000) and Tc at (0.5000, 0.5000, 0.5000).

The crystal system is cubic. The value obtained for the magnetic moment is 0.00 μB per formula unit. Its polymorph energy (0 for the lowest one) is 0.0 meV/atom. The calculation puts the formation energy at 0.886 eV/atom. The total energy comes out at -8.922 eV per atom.

---

Entry 7:
The following is a GGA-PBE calculation of a relaxed structure of AlZn2Ga3, from Alexandria.

It has space group P2_1/m (No. 11), with a = 5.1956 Å, b = 4.4691 Å, c = 9.5984 Å, α = 90.00°, β = 99.41° and γ = 90.00°. The distinct sites, in fractional coordinates, are Al at (0.1966, 0.2500, 0.2350), Zn at (0.0865, 0.2500, 0.9492), Zn at (0.4850, 0.7500, 0.4066), Ga at (0.0142, 0.2500, 0.6671), Ga at (0.2798, 0.7500, 0.6438) and Ga at (0.3924, 0.7500, 0.9291).

The crystal system is monoclinic. The value obtained for the magnetic moment is 0.00 μB per formula unit. Its polymorph energy (0 for the lowest one) is 15.3 meV/atom. The calculation puts the formation energy at 0.071 eV/atom. The total energy comes out at -2.491 eV per atom.

---

Entry 8:
The following is a GGA-PBE calculation of a relaxed structure of Cs2H2F, from Alexandria.

It has space group C2/m (No. 12), with a = 15.7670 Å, b = 4.4240 Å, c = 9.9247 Å, α = 90.00°, β = 126.46° and γ = 90.00°. The distinct sites, in fractional coordinates, are Cs at (0.0938, 0.0000, 0.4224), Cs at (0.2067, 0.0000, 0.1259), H at (0.0230, 0.5000, 0.0475), H at (0.1631, 0.5000, 0.3069) and F at (0.1401, 0.0000, 0.7722).

The crystal system is monoclinic. The value obtained for the magnetic moment is 0.00 μB per formula unit. Its polymorph energy (0 for the lowest one) is 0.0 meV/atom. The total energy comes out at -3.149 eV per atom.

---

Entry 9:
The following is a GGA-PBE calculation of a relaxed structure of LiCa2HIr, from Alexandria.

It has space group P4/mmm (No. 123), with a = 5.0177 Å, b = 5.0177 Å, c = 3.7031 Å, α = 90.00°, β = 90.00° and γ = 90.00°. The distinct sites, in fractional coordinates, are Li at (0.0000, 0.0000, 0.0000), Ca at (0.0000, 0.5000, 0.5000), H at (0.5000, 0.5000, 0.5000) and Ir at (0.5000, 0.5000, 0.0000).

The crystal system is tetragonal. The value obtained for the magnetic moment is 0.00 μB per formula unit. Its polymorph energy (0 for the lowest one) is 0.0 meV/atom. The total energy comes out at -3.895 eV per atom.

---

Entry 10:
The following is a GGA-PBE calculation of a relaxed structure of Ti2PbN, from Alexandria.

It has space group I-42d (No. 122), with a = 6.3397 Å, b = 6.3397 Å, c = 6.9705 Å, α = 90.00°, β = 90.00° and γ = 90.00°. The distinct sites, in fractional coordinates, are Ti at (0.1232, 0.2500, 0.1250), Pb at (0.0000, 0.0000, 0.5000) and N at (0.0000, 0.0000, 0.0000).

The crystal system is tetragonal. The value obtained for the magnetic moment is 0.00 μB per formula unit. For the uncorrected formation energy, the calculation gives -0.55 eV/atom. The total energy comes out at -7.502 eV per atom.

---

Entry 11:
The following is a GGA-PBE calculation of a relaxed structure of Co2Cu2Se, from Alexandria.

It has space group P4/mbm (No. 127), with a = 5.8953 Å, b = 5.8953 Å, c = 3.8563 Å, α = 90.00°, β = 90.00° and γ = 90.00°. The distinct sites, in fractional coordinates, are Co at (0.1415, 0.3585, 0.0000), Cu at (0.1526, 0.6526, 0.5000) and Se at (0.0000, 0.0000, 0.0000).

The crystal system is tetragonal. The value obtained for the magnetic moment is 2.52 μB per formula unit. For the uncorrected formation energy, the calculation gives 0.24 eV/atom. The total energy comes out at -4.941 eV per atom.

---

Entry 12:
The following is a GGA-PBE calculation of a relaxed structure of NaSr3I, from Alexandria.

It has space group Pm-3m (No. 221), with a = 6.4676 Å, b = 6.4676 Å, c = 6.4676 Å, α = 90.00°, β = 90.00° and γ = 90.00°. The distinct sites, in fractional coordinates, are Na at (0.0000, 0.0000, 0.0000), Sr at (0.0000, 0.5000, 0.5000) and I at (0.5000, 0.5000, 0.5000).

The crystal system is cubic. The value obtained for the magnetic moment is 1.05 μB per formula unit. For the uncorrected formation energy, the calculation gives -0.15 eV/atom. Its polymorph energy (0 for the lowest one) is 0.0 meV/atom. The total energy comes out at -1.734 eV per atom.